The following is a PBE calculation of a geometry-optimized Tb2YHo3 structure, from Alexandria.

As for the crystal system: monoclinic. As for the space group: No. 11. The calculation puts the formation energy at 0.42 eV per formula unit.

abc: 9.5756 3.5175 11.4069
angles: 90.00 93.39 90.00
Last column: nearest neighbours and their distance in Å.
Element x y z (fractional)
1 Tb 0.0534 0.2500 0.3579  4 Tb 3.52-3.88, 6 Ho 3.53-3.70, 2 Y 3.65
2 Tb 0.4145 0.7500 0.8785  5 Ho 3.43-3.52, 3 Y 3.48-3.62, 4 Tb 3.52-3.59
3 Tb 0.5855 0.2500 0.1215  5 Ho 3.43-3.52, 3 Y 3.48-3.62, 4 Tb 3.52-3.59
4 Tb 0.9466 0.7500 0.6421  4 Tb 3.52-3.88, 6 Ho 3.53-3.70, 2 Y 3.65
5 Y 0.2577 0.7500 0.1463  5 Ho 3.41-3.60, 5 Tb 3.48-3.65, 2 Y 3.52
6 Y 0.7423 0.2500 0.8537  5 Ho 3.41-3.60, 5 Tb 3.48-3.65, 2 Y 3.52
7 Ho 0.0981 0.2500 0.8976  3 Y 3.41-3.60, 5 Ho 3.43-3.55, 4 Tb 3.52-3.63
8 Ho 0.2662 0.2500 0.6398  6 Ho 3.38-3.52, 5 Tb 3.47-3.70
9 Ho 0.4235 0.2500 0.3819  7 Ho 3.38-3.52, 2 Tb 3.43-3.54, 2 Y 3.51
10 Ho 0.5765 0.7500 0.6181  7 Ho 3.38-3.52, 2 Tb 3.43-3.54, 2 Y 3.51
11 Ho 0.7338 0.7500 0.3602  6 Ho 3.38-3.52, 5 Tb 3.47-3.70
12 Ho 0.9019 0.7500 0.1024  3 Y 3.41-3.60, 5 Ho 3.43-3.55, 4 Tb 3.52-3.63

The following is a PBE calculation of a geometry-optimized RbLi2La2 structure, from Alexandria.

The energy above the most stable polymorph in this dataset is 124 kJ/mol of formula units. As for the crystal system: tetragonal. As for the space group: No. 139. The calculation puts the formation energy at 2.83 eV per formula unit.

abc: 5.6378 5.6378 12.2072
angles: 90.00 90.00 90.00
Last column: nearest neighbours and their distance in Å.
Element x y z (fractional)
1 Rb 0.0000 0.0000 0.0000  8 Li 4.15, 8 La 4.23
2 Rb 0.5000 0.5000 0.5000  8 Li 4.15, 8 La 4.23
3 Li 0.0000 0.5000 0.2500  4 La 3.26
4 Li 0.0000 0.5000 0.7500  4 La 3.26
5 Li 0.5000 0.0000 0.2500  4 La 3.26
6 Li 0.5000 0.0000 0.7500  4 La 3.26
7 La 0.0000 0.0000 0.3837  1 La 2.84
8 La 0.0000 0.0000 0.6163  1 La 2.84
9 La 0.5000 0.5000 0.1163  1 La 2.84
10 La 0.5000 0.5000 0.8837  1 La 2.84

The following is a PBE calculation of a geometry-optimized Pm3Sm2ThN6 structure, from Alexandria.

Its raw formation energy is -1.513 eV/atom. As for the crystal system: monoclinic. As for the space group: No. 12.

abc: 8.0661 8.0661 7.2341
angles: 102.96 102.96 25.93
Last column: nearest neighbours and their distance in Å.
Element x y z (fractional)
1 Pm 0.0000 0.0000 0.0000  6 N 2.56-2.60
2 Pm 0.3312 0.3312 0.6690  6 N 2.55-2.58
3 Pm 0.6688 0.6688 0.3310  6 N 2.55-2.58
4 Sm 0.3319 0.3319 0.1626  6 N 2.52-2.57
5 Sm 0.6681 0.6681 0.8374  6 N 2.52-2.57
6 Th 0.0000 0.0000 0.5000  6 N 2.50-2.52
7 N 0.1635 0.1635 0.5825  1 Th 2.50, 3 Pm 2.57-2.58, 2 Sm 2.57
8 N 0.1673 0.1673 0.0829  3 Sm 2.52-2.54, 3 Pm 2.55-2.56
9 N 0.4999 0.4999 0.2576  2 Th 2.52, 1 Sm 2.57, 3 Pm 2.58-2.60
10 N 0.5001 0.5001 0.7424  2 Th 2.52, 1 Sm 2.57, 3 Pm 2.58-2.60
11 N 0.8327 0.8327 0.9171  3 Sm 2.52-2.54, 3 Pm 2.55-2.56
12 N 0.8365 0.8365 0.4175  1 Th 2.50, 3 Pm 2.57-2.58, 2 Sm 2.57

The following is a PBE calculation of a geometry-optimized Ba4Pt structure, from Alexandria.

The energy above the most stable polymorph in this dataset is 101 kJ/mol of formula units. As for the crystal system: cubic. As for the space group: No. 229. The calculation puts the formation energy at -1.02 eV per formula unit.

abc: 7.7994 7.7994 7.7994
angles: 90.00 90.00 90.00
Last column: nearest neighbours and their distance in Å.
Element x y z (fractional)
1 Ba 0.2500 0.2500 0.2500  2 Pt 3.38
2 Ba 0.2500 0.2500 0.7500  2 Pt 3.38
3 Ba 0.2500 0.7500 0.2500  2 Pt 3.38
4 Ba 0.2500 0.7500 0.7500  2 Pt 3.38
5 Ba 0.7500 0.2500 0.2500  2 Pt 3.38
6 Ba 0.7500 0.2500 0.7500  2 Pt 3.38
7 Ba 0.7500 0.7500 0.2500  2 Pt 3.38
8 Ba 0.7500 0.7500 0.7500  2 Pt 3.38
9 Pt 0.0000 0.0000 0.0000  8 Ba 3.38
10 Pt 0.5000 0.5000 0.5000  8 Ba 3.38

The following is a PBE calculation of a geometry-optimized In2HgP structure, from Alexandria.

The energy above the most stable polymorph in this dataset is 67 kJ/mol of formula units. As for the crystal system: orthorhombic. As for the space group: No. 71. The calculation puts the formation energy at 0.61 eV per formula unit.

abc: 3.8914 6.3271 8.4144
angles: 90.00 90.00 90.00
Last column: nearest neighbours and their distance in Å.
Element x y z (fractional)
1 In 0.0000 0.0000 0.2194  2 P 2.68
2 In 0.0000 0.0000 0.7806  2 P 2.68
3 In 0.5000 0.5000 0.2806  2 P 2.68
4 In 0.5000 0.5000 0.7194  2 P 2.68
5 Hg 0.0000 0.5000 0.0000  4 In 3.06
6 Hg 0.5000 0.0000 0.5000  4 In 3.06
7 P 0.0000 0.5000 0.5000  4 In 2.68
8 P 0.5000 0.0000 0.0000  4 In 2.68

The following is a PBE calculation of a geometry-optimized LiCrFe2 structure, from Alexandria.

The energy above the most stable polymorph in this dataset is 41 kJ/mol of formula units. As for the crystal system: monoclinic. As for the space group: No. 8. The calculation puts the formation energy at 1.19 eV per formula unit.

abc: 8.4408 2.4044 4.5933
angles: 90.00 95.63 90.00
Last column: nearest neighbours and their distance in Å.
Element x y z (fractional)
1 Li 0.0000 0.0000 0.0000  2 Li 2.40, 7 Fe 2.41-2.60, 1 Cr 2.51
2 Li 0.5000 0.5000 0.0000  2 Li 2.40, 7 Fe 2.41-2.60, 1 Cr 2.51
3 Cr 0.2415 0.0000 0.7211  2 Cr 2.40, 7 Fe 2.43-2.60, 1 Li 2.51
4 Cr 0.7415 0.5000 0.7211  2 Cr 2.40, 7 Fe 2.43-2.60, 1 Li 2.51
5 Fe 0.2531 0.5000 0.2221  5 Fe 2.40-2.65, 3 Li 2.41-2.57, 4 Cr 2.59-2.60
6 Fe 0.4907 0.0000 0.4964  5 Fe 2.40-2.65, 3 Cr 2.43-2.56, 4 Li 2.59-2.60
7 Fe 0.7531 0.0000 0.2221  5 Fe 2.40-2.65, 3 Li 2.41-2.57, 4 Cr 2.59-2.60
8 Fe 0.9907 0.5000 0.4964  5 Fe 2.40-2.65, 3 Cr 2.43-2.56, 4 Li 2.59-2.60

The following is a PBE calculation of a geometry-optimized Ba2Co3 structure, from Alexandria.

As for the crystal system: trigonal. As for the space group: No. 164. The calculation puts the formation energy at 0.68 eV per formula unit.

abc: 4.1396 4.1396 9.5751
angles: 90.00 90.00 120.00
Last column: nearest neighbours and their distance in Å.
Element x y z (fractional)
1 Ba 0.3333 0.6667 0.2241  1 Co 2.95
2 Ba 0.6667 0.3333 0.7759  1 Co 2.95
3 Co 0.0000 0.0000 0.5000  6 Co 2.41
4 Co 0.3333 0.6667 0.5322  6 Co 2.41-2.47
5 Co 0.6667 0.3333 0.4678  6 Co 2.41-2.47

The following is a PBE calculation of a geometry-optimized MnTcOs2 structure, from Alexandria.

The energy above the most stable polymorph in this dataset is 145 kJ/mol of formula units. As for the crystal system: orthorhombic. As for the space group: No. 35. The calculation puts the formation energy at 1.76 eV per formula unit.

abc: 2.8473 4.5257 8.8729
angles: 90.00 90.00 90.00
Last column: nearest neighbours and their distance in Å.
Element x y z (fractional)
1 Mn 0.0000 0.0000 0.0000  2 Os 2.56, 2 Tc 2.57, 6 Mn 2.67-2.85
2 Mn 0.5000 0.5000 0.0000  2 Os 2.56, 2 Tc 2.57, 6 Mn 2.67-2.85
3 Tc 0.0000 0.5000 0.7592  2 Mn 2.57, 6 Tc 2.67-2.85, 2 Os 2.68
4 Tc 0.5000 0.0000 0.7592  2 Mn 2.57, 6 Tc 2.67-2.85, 2 Os 2.68
5 Os 0.0000 0.0000 0.5033  8 Os 2.67-2.85, 2 Tc 2.68
6 Os 0.0000 0.5000 0.2400  2 Mn 2.56, 8 Os 2.67-2.85
7 Os 0.5000 0.0000 0.2400  2 Mn 2.56, 8 Os 2.67-2.85
8 Os 0.5000 0.5000 0.5033  8 Os 2.67-2.85, 2 Tc 2.68

The following is a PBE calculation of a geometry-optimized La2YPaN4 structure, from Alexandria.

Its raw formation energy is -1.558 eV/atom. As for the crystal system: monoclinic. As for the space group: No. 10.

abc: 6.1419 3.5993 6.3424
angles: 90.00 108.83 90.00
Last column: nearest neighbours and their distance in Å.
Element x y z (fractional)
1 La 0.0000 0.0000 0.0000  6 N 2.73-2.74
2 La 0.5000 0.5000 0.0000  6 N 2.64
3 Y 0.0000 0.5000 0.5000  6 N 2.46-2.49
4 Pa 0.5000 0.0000 0.5000  6 N 2.34-2.40
5 N 0.2557 0.0000 0.7170  1 Pa 2.34, 2 Y 2.49
6 N 0.2734 0.5000 0.2893  2 Pa 2.40, 1 Y 2.46, 1 La 2.64
7 N 0.7266 0.5000 0.7107  2 Pa 2.40, 1 Y 2.46, 1 La 2.64
8 N 0.7443 0.0000 0.2830  1 Pa 2.34, 2 Y 2.49

The following is a PBE calculation of a geometry-optimized BeZnCSO structure, from Alexandria.

The energy above the most stable polymorph in this dataset is 27 kJ/mol of formula units. Its raw formation energy is -0.462 eV/atom. As for the crystal system: triclinic. As for the space group: No. 1.

abc: 2.8546 3.2953 6.7599
angles: 87.53 86.89 75.39
Last column: nearest neighbours and their distance in Å.
Element x y z (fractional)
1 Be 0.0000 0.0000 0.0000  2 O 1.56
2 Zn 0.5683 0.0420 0.6098  1 O 2.01, 3 C 2.10-2.14
3 C 0.9505 0.4704 0.4881  1 S 1.63
4 S 0.9801 0.4869 0.2458  1 C 1.63
5 O 0.5098 0.0064 0.9067  2 Be 1.56

The following is a PBE calculation of a geometry-optimized SrSc2Ta structure, from Alexandria.

The energy above the most stable polymorph in this dataset is 43 kJ/mol of formula units. As for the crystal system: trigonal. As for the space group: No. 166. The calculation puts the formation energy at 1.72 eV per formula unit.

abc: 3.2893 3.2893 33.3195
angles: 90.00 90.00 120.00
Last column: nearest neighbours and their distance in Å.
Element x y z (fractional)
1 Sr 0.0000 0.0000 0.0000  6 Sr 3.29
2 Sr 0.3333 0.6667 0.6667  6 Sr 3.29
3 Sr 0.6667 0.3333 0.3333  6 Sr 3.29
4 Sc 0.0000 0.0000 0.2367  3 Ta 3.01, 6 Sc 3.29
5 Sc 0.0000 0.0000 0.7633  3 Ta 3.01, 6 Sc 3.29
6 Sc 0.3333 0.6667 0.4299  3 Ta 3.01, 6 Sc 3.29
7 Sc 0.3333 0.6667 0.9034  3 Ta 3.01, 6 Sc 3.29
8 Sc 0.6667 0.3333 0.0966  3 Ta 3.01, 6 Sc 3.29
9 Sc 0.6667 0.3333 0.5701  3 Ta 3.01, 6 Sc 3.29
10 Ta 0.0000 0.0000 0.5000  6 Sc 3.01, 6 Ta 3.29
11 Ta 0.3333 0.6667 0.1667  6 Sc 3.01, 6 Ta 3.29
12 Ta 0.6667 0.3333 0.8333  6 Sc 3.01, 6 Ta 3.29

The following is a PBE calculation of a geometry-optimized NbSCl3 structure, from Alexandria.

The energy above the most stable polymorph in this dataset is 0 kJ/mol of formula units. Its raw formation energy is -1.141 eV/atom. As for the crystal system: monoclinic. As for the space group: No. 13.

abc: 6.9160 7.1989 12.2011
angles: 90.00 96.76 90.00
Last column: nearest neighbours and their distance in Å.
Element x y z (fractional)
1 Nb 0.0709 0.1216 0.1470  5 Cl 2.36-2.61, 2 S 2.47-2.54
2 Nb 0.0709 0.8784 0.6470  5 Cl 2.36-2.61, 2 S 2.47-2.54
3 Nb 0.9291 0.1216 0.3530  5 Cl 2.36-2.61, 2 S 2.47-2.54
4 Nb 0.9291 0.8784 0.8530  5 Cl 2.36-2.61, 2 S 2.47-2.54
5 S 0.1354 0.3732 0.2924  1 S 2.03
6 S 0.1354 0.6268 0.7924  1 S 2.03
7 S 0.8646 0.3732 0.2076  1 S 2.03
8 S 0.8646 0.6268 0.7076  1 S 2.03
9 Cl 0.1388 0.1728 0.5334  2 Nb 2.52-2.61
10 Cl 0.1388 0.8272 0.0334  2 Nb 2.52-2.61
11 Cl 0.2246 0.0686 0.7988  2 Nb 2.44-2.61
12 Cl 0.2246 0.9314 0.2988  2 Nb 2.44-2.61
13 Cl 0.3453 0.2530 0.0788  1 Nb 2.36
14 Cl 0.3453 0.7470 0.5788  1 Nb 2.36
15 Cl 0.6547 0.2530 0.4212  1 Nb 2.36
16 Cl 0.6547 0.7470 0.9212  1 Nb 2.36
17 Cl 0.7754 0.0686 0.7012  2 Nb 2.44-2.61
18 Cl 0.7754 0.9314 0.2012  2 Nb 2.44-2.61
19 Cl 0.8612 0.1728 0.9666  2 Nb 2.52-2.61
20 Cl 0.8612 0.8272 0.4666  2 Nb 2.52-2.61

DFT total energy (eV per atom)
-4.840 -2.364 -8.268 -2.951 -2.645 -6.819 -4.896 -10.058 -8.948 -5.124 -6.119 -5.088
Size of the total moment (μB per cell)
0.00 0.00 0.00 0.00 0.00 6.40 3.72 4.93 0.00 0.00 0.00 0.00